The following is a GGA-PBE calculation of a relaxed structure of RbLiRe, from OQMD.

polymorph energy (0 for the lowest one) = 323 meV per atom
E = -2.718 eV/atom
theoretical density = 4.62 Mg/m³

Lattice parameters (Å, degrees): 7.3714 7.3714 7.3714 90.00 90.00 90.00
Space group F-43m (No. 216)
Symmetry-distinct sites (fractional):
1 Rb 0.0000 0.0000 0.0000
2 Li 0.2500 0.2500 0.7500
3 Re 0.2500 0.2500 0.2500

The following is a GGA-PBE calculation of a relaxed structure of NdTlHgSe3, from OQMD.

polymorph energy (0 for the lowest one) = 59 meV per atom
E = -3.864 eV/atom
theoretical density = 7.83 Mg/m³

Lattice parameters (Å, degrees): 8.4710 4.4916 17.5213 90.00 90.00 90.00
Space group Pnma (No. 62)
Symmetry-distinct sites (fractional):
1 Nd 0.2264 0.2500 0.0400
2 Tl 0.0653 0.2500 0.8037
3 Hg 0.0713 0.2500 0.3415
4 Se 0.0053 0.2500 0.5759
5 Se 0.1263 0.7500 0.9434
6 Se 0.2253 0.2500 0.2089

The following is a GGA-PBE calculation of a relaxed structure of TmCdNi4, from OQMD.

energy of formation = -382 meV/atom
E = -4.989 eV/atom
theoretical density = 10.09 Mg/m³

Lattice parameters (Å, degrees): 6.9770 6.9770 6.9770 90.00 90.00 90.00
Space group F-43m (No. 216)
Symmetry-distinct sites (fractional):
1 Tm 0.0000 0.0000 0.0000
2 Cd 0.2500 0.2500 0.2500
3 Ni 0.1242 0.1242 0.6242